(A)
Here is a relaxed structure of MnSb2Os from Alexandria via LeMat-Bulk. Energies are from PBE.

Computed properties:
Magnetic moment, μB/atom: 0.8144
Space group: P4mm (99)

Unit cell a=3.173 b=3.173 c=8.142 alpha=90.00 beta=90.00 gamma=90.00
Sites, in units of the cell vectors:
Mn: 0.000 0.000 0.000
Sb: 0.000 0.000 0.386
Sb: 0.500 0.500 0.793
Os: 0.500 0.500 0.182



(B)
Here is a relaxed structure of MnSb2Os from Alexandria via LeMat-Bulk. Energies are from PBE.

Computed properties:
Magnetic moment, μB/atom: 0.9024
Space group: C2/m (12)

Unit cell a=4.495 b=4.495 c=5.683 alpha=100.85 beta=100.85 gamma=42.40
Sites, in units of the cell vectors:
Mn: 0.000 0.000 0.000
Sb: 0.243 0.243 0.742
Sb: 0.757 0.757 0.258
Os: 0.500 0.500 0.500



Verdict on stability: (A) comes out on top.



(A)
Here is a relaxed structure of MnSb2Os from Alexandria via LeMat-Bulk. Energies are from PBE.

Computed properties:
Magnetic moment, μB/atom: 0.8317
Space group: R-3m (166)

Unit cell a=8.500 b=8.500 c=8.500 alpha=21.89 beta=21.89 gamma=21.89
Sites, in units of the cell vectors:
Mn: 0.000 0.000 0.000
Sb: 0.248 0.248 0.248
Sb: 0.752 0.752 0.752
Os: 0.500 0.500 0.500



(B)
Here is a relaxed structure of MnSb2Os from Alexandria via LeMat-Bulk. Energies are from PBE.

Computed properties:
Magnetic moment, μB/atom: 0.1246
Space group: P4/mmm (123)

Unit cell a=3.212 b=3.212 c=6.501 alpha=90.00 beta=90.00 gamma=90.00
Sites, in units of the cell vectors:
Mn: 0.000 0.000 0.000
Sb: 0.500 0.500 0.238
Sb: 0.500 0.500 0.762
Os: 0.000 0.000 0.500



(C)
Here is a relaxed structure of MnSb2Os from Alexandria via LeMat-Bulk. Energies are from PBE.

Computed properties:
Magnetic moment, μB/atom: 0.3347
Space group: Fm-3m (225)

Unit cell a=4.575 b=4.575 c=4.575 alpha=60.00 beta=60.00 gamma=60.00
Sites, in units of the cell vectors:
Mn: 0.000 0.000 0.000
Sb: 0.250 0.250 0.250
Sb: 0.750 0.750 0.750
Os: 0.500 0.500 0.500



Verdict on stability: (A) comes out on top.



(A)
Here is a relaxed structure of MnSb2Os2 from Alexandria via LeMat-Bulk. Energies are from PBE.

Computed properties:
Magnetic moment, μB/atom: 0.6448
Space group: P4/mbm (127)

Unit cell a=6.820 b=6.820 c=3.931 alpha=90.00 beta=90.00 gamma=90.00
Sites, in units of the cell vectors:
Mn: 0.000 0.000 0.000
Mn: 0.500 0.500 0.000
Sb: 0.171 0.329 0.500
Sb: 0.329 0.829 0.500
Sb: 0.671 0.171 0.500
Sb: 0.829 0.671 0.500
Os: 0.134 0.634 0.000
Os: 0.366 0.134 0.000
Os: 0.634 0.866 0.000
Os: 0.866 0.366 0.000



(B)
Here is a relaxed structure of MnSb2Os2 from Alexandria via LeMat-Bulk. Energies are from PBE.

Computed properties:
Magnetic moment, μB/atom: 0.1565
Space group: I4/mmm (139)

Unit cell a=6.404 b=6.404 c=6.404 alpha=141.52 beta=141.52 gamma=55.55
Sites, in units of the cell vectors:
Mn: 0.000 0.000 0.000
Sb: 0.250 0.750 0.500
Sb: 0.750 0.250 0.500
Os: 0.392 0.392 0.000
Os: 0.608 0.608 0.000



Verdict on stability: (A) comes out on top.



(A)
Here is a relaxed structure of MnSb3Os from Alexandria via LeMat-Bulk. Energies are from PBE.

Computed properties:
Magnetic moment, μB/atom: 0.0310
Space group: Pm-3m (221)

Unit cell a=4.832 b=4.832 c=4.832 alpha=90.00 beta=90.00 gamma=90.00
Sites, in units of the cell vectors:
Mn: 0.000 0.000 0.000
Sb: 0.000 0.000 0.500
Sb: 0.000 0.500 0.000
Sb: 0.500 0.000 0.000
Os: 0.500 0.500 0.500



(B)
Here is a relaxed structure of MnSb3Os from Alexandria via LeMat-Bulk. Energies are from PBE.

Computed properties:
Magnetic moment, μB/atom: 0.0840
Space group: Pm-3m (221)

Unit cell a=5.121 b=5.121 c=5.121 alpha=90.00 beta=90.00 gamma=90.00
Sites, in units of the cell vectors:
Mn: 0.000 0.000 0.000
Sb: 0.000 0.500 0.500
Sb: 0.500 0.000 0.500
Sb: 0.500 0.500 0.000
Os: 0.500 0.500 0.500



Verdict on stability: (A) comes out on top.



(A)
Here is a relaxed structure of MnSbTe2Os from Alexandria via LeMat-Bulk. Energies are from PBE.

Computed properties:
Magnetic moment, μB/atom: 0.1035
Space group: P4/mmm (123)

Unit cell a=5.308 b=5.308 c=4.981 alpha=90.00 beta=90.00 gamma=90.00
Sites, in units of the cell vectors:
Mn: 0.000 0.000 0.000
Sb: 0.500 0.500 0.000
Te: 0.000 0.500 0.500
Te: 0.500 0.000 0.500
Os: 0.500 0.500 0.500



(B)
Here is a relaxed structure of MnSbTe2Os from Alexandria via LeMat-Bulk. Energies are from PBE.

Computed properties:
Magnetic moment, μB/atom: 0.1215
Space group: P4/mmm (123)

Unit cell a=4.928 b=4.928 c=4.866 alpha=90.00 beta=90.00 gamma=90.00
Sites, in units of the cell vectors:
Mn: 0.000 0.000 0.000
Sb: 0.000 0.000 0.500
Te: 0.000 0.500 0.000
Te: 0.500 0.000 0.000
Os: 0.500 0.500 0.500



Verdict on stability: (B) comes out on top.



(A)
Here is a relaxed structure of ScMn2Os from Alexandria via LeMat-Bulk. Energies are from PBE.

Computed properties:
Magnetic moment, μB/atom: 1.2422
Space group: I-42d (122)

Unit cell a=5.653 b=5.653 c=5.653 alpha=102.91 beta=102.91 gamma=123.59
Sites, in units of the cell vectors:
Sc: 0.000 0.000 0.000
Sc: 0.750 0.250 0.500
Mn: 0.167 0.125 0.542
Mn: 0.375 0.833 0.958
Mn: 0.583 0.625 0.458
Mn: 0.875 0.417 0.042
Os: 0.250 0.750 0.500
Os: 0.500 0.500 0.000



(B)
Here is a relaxed structure of ScMn2Os from Alexandria via LeMat-Bulk. Energies are from PBE.

Computed properties:
Magnetic moment, μB/atom: 0.0002
Space group: P4/mmm (123)

Unit cell a=4.290 b=4.290 c=2.946 alpha=90.00 beta=90.00 gamma=90.00
Sites, in units of the cell vectors:
Sc: 0.000 0.000 0.000
Mn: 0.000 0.500 0.500
Mn: 0.500 0.000 0.500
Os: 0.500 0.500 0.000



(C)
Here is a relaxed structure of ScMn2Os from Alexandria via LeMat-Bulk. Energies are from PBE.

Computed properties:
Magnetic moment, μB/atom: 0.0194
Space group: Pm (6)

Unit cell a=2.820 b=3.972 c=5.311 alpha=90.00 beta=105.39 gamma=90.00
Sites, in units of the cell vectors:
Sc: 0.000 0.000 0.000
Mn: 0.636 0.500 0.269
Mn: 0.735 0.000 0.485
Os: 0.344 0.500 0.692



Verdict on stability: (B) comes out on top.



(A)
Here is a relaxed structure of Sc2MnOs from Alexandria via LeMat-Bulk. Energies are from PBE.

Computed properties:
Magnetic moment, μB/atom: 0.0011
Space group: F-43m (216)

Unit cell a=4.473 b=4.473 c=4.473 alpha=60.00 beta=60.00 gamma=60.00
Sites, in units of the cell vectors:
Sc: 0.000 0.000 0.000
Sc: 0.250 0.250 0.250
Mn: 0.750 0.750 0.750
Os: 0.500 0.500 0.500



(B)
Here is a relaxed structure of Sc2MnOs from Alexandria via LeMat-Bulk. Energies are from PBE.

Computed properties:
Magnetic moment, μB/atom: 0.0000
Space group: Fm-3m (225)

Unit cell a=4.516 b=4.516 c=4.516 alpha=60.00 beta=60.00 gamma=60.00
Sites, in units of the cell vectors:
Sc: 0.250 0.250 0.250
Sc: 0.750 0.750 0.750
Mn: 0.000 0.000 0.000
Os: 0.500 0.500 0.500



Verdict on stability: (B) comes out on top.



(A)
Here is a relaxed structure of Sc2MnOs from Alexandria via LeMat-Bulk. Energies are from PBE.

Computed properties:
Magnetic moment, μB/atom: 0.5255
Space group: Imm2 (44)

Unit cell a=5.565 b=5.565 c=5.565 alpha=146.80 beta=131.71 gamma=59.86
Sites, in units of the cell vectors:
Sc: 0.000 0.000 0.000
Sc: 0.718 0.218 0.500
Mn: 0.275 0.775 0.500
Os: 0.476 0.476 0.000



(B)
Here is a relaxed structure of Sc2MnOs from Alexandria via LeMat-Bulk. Energies are from PBE.

Computed properties:
Magnetic moment, μB/atom: 0.5464
Space group: R-3m (166)

Unit cell a=9.638 b=9.638 c=9.638 alpha=17.41 beta=17.41 gamma=17.41
Sites, in units of the cell vectors:
Sc: 0.089 0.089 0.089
Sc: 0.911 0.911 0.911
Mn: 0.500 0.500 0.500
Os: 0.000 0.000 0.000



Verdict on stability: (A) comes out on top.